a | ## LiSbP4O12 (GGA-PBE)

Data for a geometry-optimized LiSbP4O12 structure.

abc: 8.972 8.972 9.936
angles: 60.12 60.12 50.69
Sites, in units of the cell vectors:
O 0.394 0.139 0.822
O 0.549 0.580 0.297
O 0.451 0.420 0.703
O 0.606 0.861 0.178
O 0.430 0.229 0.103
O 0.970 0.203 0.551
O 0.861 0.606 0.678
O 0.570 0.771 0.897
O 0.203 0.970 0.051
O 0.030 0.797 0.449
O 0.973 0.286 0.266
O 0.229 0.430 0.603
O 0.771 0.570 0.397
O 0.797 0.030 0.949
O 0.286 0.973 0.766
O 0.139 0.394 0.322
O 0.601 0.194 0.530
O 0.399 0.806 0.470
O 0.420 0.451 0.203
O 0.806 0.399 0.970
O 0.714 0.027 0.234
O 0.027 0.714 0.734
O 0.580 0.549 0.797
O 0.194 0.601 0.030
P 0.572 0.702 0.342
P 0.964 0.346 0.388
P 0.036 0.654 0.612
P 0.298 0.428 0.158
P 0.346 0.964 0.888
P 0.654 0.036 0.112
P 0.702 0.572 0.842
P 0.428 0.298 0.658
Sb 0.298 0.702 0.750
Sb 0.702 0.298 0.250
Li 0.000 0.000 0.500
Li 0.000 0.000 0.000

b | ## LiSbP4O12 (GGA-PBE)

Data for a geometry-optimized LiSbP4O12 structure.

abc: 8.953 8.953 9.856
angles: 57.83 57.83 46.92
Sites, in units of the cell vectors:
P 0.419 0.302 0.121
P 0.707 0.006 0.690
P 0.006 0.707 0.190
P 0.293 0.994 0.310
P 0.994 0.293 0.810
P 0.581 0.698 0.879
P 0.302 0.419 0.621
P 0.698 0.581 0.379
O 0.675 0.825 0.839
O 0.596 0.159 0.202
O 0.593 0.546 0.562
O 0.844 0.020 0.724
O 0.325 0.175 0.161
O 0.159 0.596 0.702
O 0.156 0.980 0.276
O 0.524 0.782 0.275
O 0.228 0.017 0.477
O 0.454 0.407 0.938
O 0.772 0.983 0.523
O 0.546 0.593 0.062
O 0.983 0.772 0.023
O 0.020 0.844 0.224
O 0.980 0.156 0.776
O 0.407 0.454 0.438
O 0.017 0.228 0.977
O 0.476 0.218 0.725
O 0.841 0.404 0.298
O 0.782 0.524 0.775
O 0.175 0.325 0.661
O 0.404 0.841 0.798
O 0.825 0.675 0.339
O 0.218 0.476 0.225
Sb 0.830 0.170 0.250
Sb 0.170 0.830 0.750
Li 0.310 0.690 0.250
Li 0.690 0.310 0.750

c | ## LiSbP4O12 (GGA-PBE)

Data for a geometry-optimized LiSbP4O12 structure.

abc: 11.166 11.166 5.689
angles: 77.26 77.26 69.72
Sites, in units of the cell vectors:
O 0.693 0.438 0.696
O 0.925 0.289 0.667
O 0.834 0.426 0.011
O 0.853 0.853 0.361
O 0.075 0.711 0.333
O 0.166 0.574 0.989
O 0.918 0.673 0.714
O 0.104 0.381 0.688
O 0.307 0.562 0.304
O 0.769 0.231 0.000
O 0.896 0.619 0.312
O 0.289 0.925 0.667
O 0.711 0.075 0.333
O 0.562 0.307 0.304
O 0.426 0.834 0.011
O 0.574 0.166 0.989
O 0.082 0.327 0.286
O 0.673 0.918 0.714
O 0.147 0.147 0.639
O 0.438 0.693 0.696
O 0.619 0.896 0.312
O 0.381 0.104 0.688
O 0.231 0.769 0.000
O 0.327 0.082 0.286
P 0.797 0.360 0.844
P 0.296 0.067 0.560
P 0.640 0.203 0.156
P 0.203 0.640 0.156
P 0.067 0.296 0.560
P 0.704 0.933 0.440
P 0.360 0.797 0.844
P 0.933 0.704 0.440
Li 0.596 0.596 0.560
Li 0.404 0.404 0.440
Sb 0.500 0.000 0.000
Sb 0.000 0.500 0.000

Top of the stability list: b, leading by 3.5 kJ/mol of atoms.

a | ## LiSbPO5 (GGA-PBE)

Data for a geometry-optimized LiSbPO5 structure.

abc: 5.561 5.561 7.511
angles: 73.56 73.56 97.55
Sites, in units of the cell vectors:
O 0.675 0.149 0.137
O 0.094 0.912 0.243
O 0.833 0.320 0.377
O 0.366 0.273 0.399
O 0.149 0.675 0.637
O 0.273 0.366 0.899
O 0.622 0.699 0.615
O 0.320 0.833 0.877
O 0.699 0.622 0.115
O 0.912 0.094 0.743
Li 0.817 0.424 0.632
Li 0.424 0.817 0.132
Sb 0.012 0.007 0.491
Sb 0.007 0.012 0.991
P 0.341 0.647 0.754
P 0.647 0.341 0.254

b | ## LiSbPO5 (GGA-PBE)

Data for a geometry-optimized LiSbPO5 structure.

abc: 8.413 10.262 10.694
angles: 79.82 71.05 69.15
Sites, in units of the cell vectors:
P 0.672 0.064 0.304
P 0.394 0.824 0.053
P 0.857 0.423 0.207
P 0.111 0.579 0.818
P 0.911 0.303 0.582
P 0.136 0.681 0.422
P 0.581 0.180 0.954
P 0.327 0.954 0.674
O 0.309 0.551 0.409
O 0.947 0.790 0.080
O 0.821 0.466 0.069
O 0.681 0.425 0.312
O 0.925 0.537 0.238
O 0.132 0.969 0.740
O 0.470 0.299 0.574
O 0.068 0.445 0.799
O 0.556 0.700 0.424
O 0.792 0.447 0.545
O 0.711 0.046 0.441
O 0.974 0.658 0.523
O 0.675 0.542 0.858
O 0.176 0.810 0.456
O 0.634 0.303 0.979
O 0.901 0.282 0.733
O 0.617 0.942 0.281
O 0.451 0.787 0.185
O 0.526 0.206 0.290
O 0.569 0.822 0.941
O 0.724 0.039 0.971
O 0.853 0.059 0.202
O 0.755 0.942 0.689
O 0.184 0.543 0.943
O 0.376 0.079 0.703
O 0.003 0.279 0.209
O 0.241 0.046 0.306
O 0.555 0.207 0.813
O 0.255 0.603 0.695
O 0.310 0.465 0.154
O 0.248 0.965 0.054
O 0.851 0.184 0.553
O 0.096 0.724 0.285
O 0.108 0.278 0.508
O 0.332 0.708 0.027
O 0.942 0.709 0.836
O 0.446 0.813 0.720
O 0.400 0.188 0.056
O 0.364 0.970 0.520
O 0.008 0.204 0.955
Li 0.974 0.093 0.333
Li 0.190 0.170 0.037
Li 0.228 0.283 0.642
Li 0.455 0.500 0.957
Li 0.819 0.621 0.429
Li 0.016 0.873 0.671
Li 0.769 0.819 0.996
Li 0.478 0.434 0.256
Sb 0.121 0.628 0.126
Sb 0.702 0.739 0.749
Sb 0.261 0.247 0.272
Sb 0.403 0.872 0.361
Sb 0.990 0.996 0.996
Sb 0.621 0.124 0.632
Sb 0.854 0.376 0.898
Sb 0.500 0.509 0.522

Top of the stability list: b, leading by 2.9 kJ/mol of atoms.

a | ## LiP2SeO (GGA-PBE)

Data for a geometry-optimized LiP2SeO structure.

abc: 5.000 5.000 3.698
angles: 90.00 90.00 90.00
Sites, in units of the cell vectors:
Li 0.500 0.500 0.500
P 0.000 0.500 0.000
P 0.500 0.000 0.000
O 0.000 0.000 0.500
Se 0.000 0.000 0.000

b | ## LiP2SeO (GGA-PBE)

Data for a geometry-optimized LiP2SeO structure.

abc: 4.607 4.607 3.393
angles: 90.00 90.00 90.00
Sites, in units of the cell vectors:
Li 0.000 0.000 0.000
Se 0.500 0.500 0.500
P 0.000 0.500 0.000
P 0.500 0.000 0.000
O 0.000 0.000 0.500

Top of the stability list: a, leading by 6.0 kJ/mol of atoms.

a | ## LiSiPO2 (GGA-PBE)

Data for a geometry-optimized LiSiPO2 structure.

abc: 3.555 3.555 4.631
angles: 90.00 90.00 90.00
Site moments in Bohr magnetons follow the coordinates.
Sites, in units of the cell vectors:
O 0.500 0.000 0.000  0.58
O 0.000 0.500 0.000  0.58
P 0.000 0.000 0.500  0.00
Li 0.000 0.000 0.000  0.00
Si 0.500 0.500 0.500  -0.02

b | ## LiSiPO2 (GGA-PBE)

Data for a geometry-optimized LiSiPO2 structure.

abc: 3.410 3.410 5.276
angles: 90.00 90.00 90.00
Site moments in Bohr magnetons follow the coordinates.
Sites, in units of the cell vectors:
O 0.000 0.500 0.000  0.07
O 0.500 0.000 0.000  0.07
Si 0.000 0.000 0.000  0.00
P 0.000 0.000 0.500  0.01
Li 0.500 0.500 0.500  0.00

Top of the stability list: b, leading by 120.1 kJ/mol of atoms.